An optimized crystal structure of TaIOF2, computed with PBE-GGA.

- Distance to the lowest polymorph of the same formula: 11.08 eV/f.u.

abc: 5.0658 5.0658 3.9276
angles: 90.00 90.00 90.00
Last column: nearest neighbours and their distance in Å.
Element x y z (fractional)
Ta1 0.0000 0.0000 0.0000  8 F 3.21, 4 O 3.58
I1 0.5000 0.5000 0.5000  2 O 1.96
O1 0.5000 0.5000 0.0000  2 I 1.96
F1 0.0000 0.5000 0.5000  2 I 2.53
F2 0.5000 0.0000 0.5000  2 I 2.53